! BiPdPb3 (GGA-PBE, relaxed); values from VASP
! * size of the total moment: 0.000 μB/f.u.
! * formation energy: -0.09 eV/atom
! * SG: C2/m (12)
! * total DFT energy (no corrections): -0.1518 hartree per atom
! * density: 10694 kg/m3
&SYSTEM
  ibrav = 0, nat = 10, ntyp = 3
/
ATOMIC_SPECIES
Bi 208.98 Bi.upf
Pd 106.42 Pd.upf
Pb 207.20 Pb.upf
ATOMIC_POSITIONS angstrom
Bi -2.3157 0.3962 4.5573
Bi 6.0709 -0.4946 1.7934
Pd 3.7217 -1.7060 3.1885
Pd 0.0335 1.6076 3.1621
Pb -1.6859 -3.5187 3.2747
Pb 2.3783 0.1961 1.6040
Pb 1.3770 -0.2945 4.7466
Pb 1.6250 -3.5579 2.8918
Pb 5.4412 3.4204 3.0760
Pb 2.1303 3.4595 3.4588
CELL_PARAMETERS angstrom
-1.9050 -6.3724 2.9989
7.2850 -0.2493 0.3106
-1.6248 6.5233 3.0412